Entry 1:
A plane-wave DFT calculation with PBE was carried out for crystalline YAg2Sb2 at its relaxed geometry.

The structure belongs to space group P4/mbm (No. 127); the cell edges are 8.066, 8.066 and 3.631 Å and the angles 90.00°, 90.00° and 90.00°. Symmetry generates all atoms from Y at (0.000, 0.000, 0.000), Ag at (0.119, 0.381, 0.000) and Sb at (0.185, 0.685, 0.500).

As for the total energy: -43.4 eV for the cell shown. As for the spin magnetization: 0.000 μB/atom. The uncorrected formation energy comes out at -0.2571 eV per atom. The energy above the most stable polymorph in this dataset is 0.220 eV/atom.

Entry 2:
A plane-wave DFT calculation with PBE was carried out for crystalline Y2AgSb at its relaxed geometry.

The structure belongs to space group P4/mmm (No. 123); the cell edges are 5.072, 5.072 and 3.965 Å and the angles 90.00°, 90.00° and 90.00°. Symmetry generates all atoms from Y at (0.000, 0.500, 0.000), Ag at (0.000, 0.000, 0.500) and Sb at (0.500, 0.500, 0.500).

As for the total energy: -22.4 eV for the cell shown. As for the spin magnetization: 0.002 μB/atom. The uncorrected formation energy comes out at -0.6195 eV per atom.

Entry 3:
A plane-wave DFT calculation with PBE was carried out for crystalline Y2AgSb at its relaxed geometry.

The structure belongs to space group R3m (No. 160, hexagonal axes); the cell edges are 3.5128, 3.5128 and 30.7896 Å and the angles 90.00°, 90.00° and 120.00°. Symmetry generates all atoms from Y at (0.0000, 0.0000, 0.0000), Y at (0.0000, 0.0000, 0.2383), Ag at (0.0000, 0.0000, 0.7433) and Sb at (0.0000, 0.0000, 0.4872).

As for the total energy: -60.9 eV for the cell shown. As for the spin magnetization: 0.119 μB/atom. The uncorrected formation energy comes out at -0.0963 eV per atom.

Entry 4:
A plane-wave DFT calculation with PBE was carried out for crystalline Y2AgSb at its relaxed geometry.

The structure belongs to space group P2/m (No. 10); the cell edges are 4.351, 4.345 and 6.174 Å and the angles 90.00°, 102.42° and 90.00°. Symmetry generates all atoms from Y at (0.000, 0.000, 0.000), Y at (0.500, 0.500, 0.500), Ag at (0.000, 0.000, 0.500) and Sb at (0.500, 0.500, 0.000).

As for the total energy: -22.1 eV for the cell shown. As for the spin magnetization: 0.000 μB/atom. The uncorrected formation energy comes out at -0.5448 eV per atom.

Entry 5:
A plane-wave DFT calculation with PBE was carried out for crystalline Y2AgSb at its relaxed geometry.

The structure belongs to space group F-43m (No. 216); the cell edges are 7.473, 7.473 and 7.473 Å and the angles 90.00°, 90.00° and 90.00°. Symmetry generates all atoms from Y at (0.000, 0.000, 0.000), Y at (0.250, 0.250, 0.250), Ag at (0.000, 0.000, 0.500) and Sb at (0.250, 0.250, 0.750).

As for the total energy: -80.1 eV for the cell shown. As for the spin magnetization: 0.001 μB/atom. The uncorrected formation energy comes out at -0.0307 eV per atom.

Entry 6:
A plane-wave DFT calculation with PBE was carried out for crystalline YAgSb at its relaxed geometry.

The structure belongs to space group I4mm (No. 107); the cell edges are 3.830, 3.830 and 10.167 Å and the angles 90.00°, 90.00° and 90.00°. Symmetry generates all atoms from Y at (0.000, 0.000, 0.000), Ag at (0.000, 0.000, 0.333) and Sb at (0.000, 0.000, 0.681).

As for the total energy: -29.1 eV for the cell shown. As for the spin magnetization: 0.000 μB/atom. The uncorrected formation energy comes out at -0.3710 eV per atom.

> Which value of uncorrected formation energy does entry 4 give?

-0.5448 eV per atom

> Number 6 is which compound?

YAgSb